No. 1
DFT (PBE) results for PrEu2In after structural relaxation.

Structure (CIF):
```
data_PrEu2In
_space_group_name_H-M_alt 'P 4/m m m'
_space_group_IT_number 123
_space_group_name_Hall '-P 4 2'
_cell_length_a 4.9954
_cell_length_b 4.9954
_cell_length_c 5.2781
_cell_angle_alpha 90.00
_cell_angle_beta 90.00
_cell_angle_gamma 90.00
loop_
_atom_site_label
_atom_site_type_symbol
_atom_site_fract_x
_atom_site_fract_y
_atom_site_fract_z
Pr1 Pr 0.0000 0.0000 0.0000
Eu1 Eu 0.0000 0.5000 0.5000
In1 In 0.5000 0.5000 0.0000
```

No. 2
DFT (PBE) results for PrEu2In after structural relaxation.

Structure (CIF):
```
data_PrEu2In
_space_group_name_H-M_alt 'F m -3 m'
_space_group_IT_number 225
_space_group_name_Hall '-F 4 2 3'
_cell_length_a 8.0445
_cell_length_b 8.0445
_cell_length_c 8.0445
_cell_angle_alpha 90.00
_cell_angle_beta 90.00
_cell_angle_gamma 90.00
loop_
_atom_site_label
_atom_site_type_symbol
_atom_site_fract_x
_atom_site_fract_y
_atom_site_fract_z
Pr1 Pr 0.0000 0.0000 0.0000
Eu1 Eu 0.2500 0.2500 0.2500
In1 In 0.0000 0.0000 0.5000
```

No. 3
DFT (PBE) results for PrEu2In after structural relaxation.

Structure (CIF):
```
data_PrEu2In
_space_group_name_H-M_alt 'P 4/m m m'
_space_group_IT_number 123
_space_group_name_Hall '-P 4 2'
_cell_length_a 3.9167
_cell_length_b 3.9167
_cell_length_c 9.0119
_cell_angle_alpha 90.00
_cell_angle_beta 90.00
_cell_angle_gamma 90.00
loop_
_atom_site_label
_atom_site_type_symbol
_atom_site_fract_x
_atom_site_fract_y
_atom_site_fract_z
Pr1 Pr 0.0000 0.0000 0.0000
Eu1 Eu 0.5000 0.5000 0.2867
In1 In 0.0000 0.0000 0.5000
```

No. 4
DFT (PBE) results for PrEuIn4 after structural relaxation.

Structure (CIF):
```
data_PrEuIn4
_space_group_name_H-M_alt 'F -4 3 m'
_space_group_IT_number 216
_space_group_name_Hall 'F -4 2 3'
_cell_length_a 8.6862
_cell_length_b 8.6862
_cell_length_c 8.6862
_cell_angle_alpha 90.00
_cell_angle_beta 90.00
_cell_angle_gamma 90.00
loop_
_atom_site_label
_atom_site_type_symbol
_atom_site_fract_x
_atom_site_fract_y
_atom_site_fract_z
Pr1 Pr 0.0000 0.0000 0.0000
Eu1 Eu 0.2500 0.2500 0.7500
In1 In 0.1251 0.1251 0.3749
```

No. 5
DFT (PBE) results for PrEuIn2 after structural relaxation.

Structure (CIF):
```
data_PrEuIn2
_space_group_name_H-M_alt 'R -3 m'
_space_group_IT_number 166
_space_group_name_Hall '-R 3 2"'
_cell_length_a 3.8162
_cell_length_b 3.8162
_cell_length_c 30.7370
_cell_angle_alpha 90.00
_cell_angle_beta 90.00
_cell_angle_gamma 120.00
loop_
_atom_site_label
_atom_site_type_symbol
_atom_site_fract_x
_atom_site_fract_y
_atom_site_fract_z
Pr1 Pr 0.0000 0.0000 0.0000
Eu1 Eu 0.0000 0.0000 0.5000
In1 In 0.0000 0.0000 0.2504
```

No. 6
DFT (PBE) results for PrEuIn2 after structural relaxation.

Structure (CIF):
```
data_PrEuIn2
_space_group_name_H-M_alt 'P 4/m m m'
_space_group_IT_number 123
_space_group_name_Hall '-P 4 2'
_cell_length_a 3.9187
_cell_length_b 3.9187
_cell_length_c 7.8816
_cell_angle_alpha 90.00
_cell_angle_beta 90.00
_cell_angle_gamma 90.00
loop_
_atom_site_label
_atom_site_type_symbol
_atom_site_fract_x
_atom_site_fract_y
_atom_site_fract_z
Pr1 Pr 0.0000 0.0000 0.0000
Eu1 Eu 0.0000 0.0000 0.5000
In1 In 0.5000 0.5000 0.2465
```

No. 7
DFT (PBE) results for PrEuInPt after structural relaxation.

Structure (CIF):
```
data_PrEuInPt
_space_group_name_H-M_alt 'F -4 3 m'
_space_group_IT_number 216
_space_group_name_Hall 'F -4 2 3'
_cell_length_a 7.5203
_cell_length_b 7.5203
_cell_length_c 7.5203
_cell_angle_alpha 90.00
_cell_angle_beta 90.00
_cell_angle_gamma 90.00
loop_
_atom_site_label
_atom_site_type_symbol
_atom_site_fract_x
_atom_site_fract_y
_atom_site_fract_z
Pr1 Pr 0.0000 0.0000 0.0000
Eu1 Eu 0.0000 0.0000 0.5000
In1 In 0.2500 0.2500 0.2500
Pt1 Pt 0.2500 0.2500 0.7500
```

No. 8
DFT (PBE) results for PrSmEuIn after structural relaxation.

Structure (CIF):
```
data_PrSmEuIn
_space_group_name_H-M_alt 'F -4 3 m'
_space_group_IT_number 216
_space_group_name_Hall 'F -4 2 3'
_cell_length_a 7.9599
_cell_length_b 7.9599
_cell_length_c 7.9599
_cell_angle_alpha 90.00
_cell_angle_beta 90.00
_cell_angle_gamma 90.00
loop_
_atom_site_label
_atom_site_type_symbol
_atom_site_fract_x
_atom_site_fract_y
_atom_site_fract_z
Pr1 Pr 0.0000 0.0000 0.0000
Sm1 Sm 0.0000 0.0000 0.5000
Eu1 Eu 0.2500 0.2500 0.7500
In1 In 0.2500 0.2500 0.2500
```

No. 9
DFT (PBE) results for PrEuThIn after structural relaxation.

Structure (CIF):
```
data_PrEuThIn
_space_group_name_H-M_alt 'F -4 3 m'
_space_group_IT_number 216
_space_group_name_Hall 'F -4 2 3'
_cell_length_a 7.9400
_cell_length_b 7.9400
_cell_length_c 7.9400
_cell_angle_alpha 90.00
_cell_angle_beta 90.00
_cell_angle_gamma 90.00
loop_
_atom_site_label
_atom_site_type_symbol
_atom_site_fract_x
_atom_site_fract_y
_atom_site_fract_z
Pr1 Pr 0.0000 0.0000 0.0000
Eu1 Eu 0.2500 0.2500 0.2500
Th1 Th 0.0000 0.0000 0.5000
In1 In 0.2500 0.2500 0.7500
```

No. 10
DFT (PBE) results for PrEuTlIn after structural relaxation.

Structure (CIF):
```
data_PrEuTlIn
_space_group_name_H-M_alt 'F -4 3 m'
_space_group_IT_number 216
_space_group_name_Hall 'F -4 2 3'
_cell_length_a 7.8816
_cell_length_b 7.8816
_cell_length_c 7.8816
_cell_angle_alpha 90.00
_cell_angle_beta 90.00
_cell_angle_gamma 90.00
loop_
_atom_site_label
_atom_site_type_symbol
_atom_site_fract_x
_atom_site_fract_y
_atom_site_fract_z
Pr1 Pr 0.0000 0.0000 0.0000
Eu1 Eu 0.0000 0.0000 0.5000
Tl1 Tl 0.2500 0.2500 0.2500
In1 In 0.2500 0.2500 0.7500
```

No. 11
DFT (PBE) results for Eu3InPt after structural relaxation.

Structure (CIF):
```
data_Eu3InPt
_space_group_name_H-M_alt 'P m -3 m'
_space_group_IT_number 221
_space_group_name_Hall '-P 4 2 3'
_cell_length_a 5.6707
_cell_length_b 5.6707
_cell_length_c 5.6707
_cell_angle_alpha 90.00
_cell_angle_beta 90.00
_cell_angle_gamma 90.00
loop_
_atom_site_label
_atom_site_type_symbol
_atom_site_fract_x
_atom_site_fract_y
_atom_site_fract_z
Eu1 Eu 0.0000 0.0000 0.5000
In1 In 0.5000 0.5000 0.5000
Pt1 Pt 0.0000 0.0000 0.0000
```

No. 12
DFT (PBE) results for EuInPt2 after structural relaxation.

Structure (CIF):
```
data_EuInPt2
_space_group_name_H-M_alt 'P 4/m m m'
_space_group_IT_number 123
_space_group_name_Hall '-P 4 2'
_cell_length_a 4.7850
_cell_length_b 4.7850
_cell_length_c 3.5859
_cell_angle_alpha 90.00
_cell_angle_beta 90.00
_cell_angle_gamma 90.00
loop_
_atom_site_label
_atom_site_type_symbol
_atom_site_fract_x
_atom_site_fract_y
_atom_site_fract_z
Eu1 Eu 0.0000 0.0000 0.0000
In1 In 0.5000 0.5000 0.0000
Pt1 Pt 0.0000 0.5000 0.5000
```

No. 13
DFT (PBE) results for EuInPt2 after structural relaxation.

Structure (CIF):
```
data_EuInPt2
_space_group_name_H-M_alt 'R -3 m'
_space_group_IT_number 166
_space_group_name_Hall '-R 3 2"'
_cell_length_a 4.6378
_cell_length_b 4.6378
_cell_length_c 14.5367
_cell_angle_alpha 90.00
_cell_angle_beta 90.00
_cell_angle_gamma 120.00
loop_
_atom_site_label
_atom_site_type_symbol
_atom_site_fract_x
_atom_site_fract_y
_atom_site_fract_z
Eu1 Eu 0.0000 0.0000 0.0000
In1 In 0.0000 0.0000 0.5000
Pt1 Pt 0.0000 0.0000 0.2096
```

No. 14
DFT (PBE) results for SmEuInPt after structural relaxation.

Structure (CIF):
```
data_SmEuInPt
_space_group_name_H-M_alt 'F -4 3 m'
_space_group_IT_number 216
_space_group_name_Hall 'F -4 2 3'
_cell_length_a 7.4439
_cell_length_b 7.4439
_cell_length_c 7.4439
_cell_angle_alpha 90.00
_cell_angle_beta 90.00
_cell_angle_gamma 90.00
loop_
_atom_site_label
_atom_site_type_symbol
_atom_site_fract_x
_atom_site_fract_y
_atom_site_fract_z
Sm1 Sm 0.0000 0.0000 0.0000
Eu1 Eu 0.0000 0.0000 0.5000
In1 In 0.2500 0.2500 0.7500
Pt1 Pt 0.2500 0.2500 0.2500
```

| no. | D(E_F) (states/eV/f.u.) | formation enthalpy at 0 K (eV per atom) |
| --- | --- | --- |
| 1 | 3.21 | -0.224 |
| 2 | 4.40 | -0.107 |
| 3 | 7.80 | -0.174 |
| 4 | 10.35 | -0.421 |
| 5 | 9.29 | -0.282 |
| 6 | 9.65 | -0.476 |
| 7 | 7.85 | -0.609 |
| 8 | 5.11 | -0.165 |
| 9 | 6.49 | -0.040 |
| 10 | 11.12 | -0.421 |
| 11 | 26.08 | -0.478 |
| 12 | 12.09 | -0.613 |
| 13 | 13.15 | -0.731 |
| 14 | 7.64 | -0.628 |